First-principles (GGA-PBE) data for crystalline Pm2ZrGe at its relaxed geometry, as listed in the Alexandria database.

Computed properties:
Symmetry: No. 123
Formation enthalpy at 0 K in eV per atom: -0.251
Electronic total energy in eV/cell: -23.671
Spin magnetization in μB/cell: 0.0

Structure (POSCAR):
```
Pm2ZrGe
1.0
4.611 0.000 0.000
0.000 4.639 0.000
0.000 0.000 4.639
Pm Zr Ge
2 1 1
Direct
0.000 0.500 0.000 Pm
0.000 0.000 0.500 Pm
0.500 0.000 0.000 Zr
0.500 0.500 0.500 Ge
```